GdIn4Pb: optimized geometry, PBE.

## Properties
uncorrected energy	-0.361	Ry per atom
calculated formation energy	-0.7	eV per formula unit

Cell and atoms, written as extended XYZ:
```
6
Lattice="-4.982 -3.107 1.782 0.564 -5.698 2.206 -0.966 -1.092 5.961" Properties=species:S:1:pos:R:3 pbc="T T T"
In -0.872 -4.632 5.327
In -3.366 -6.187 6.219
In -3.648 -3.335 5.115
In -2.883 -5.640 3.236
Pb -1.346 -2.474 2.487
Gd 0.000 0.000 0.000
```

Li5Hg3: optimized geometry, PBE.

## Properties
uncorrected energy	-0.119	Ry per atom
calculated formation energy	-2.4	eV per formula unit
energy relative to the lowest polymorph listed for this composition	23	meV/atom

Cell and atoms, written as extended XYZ:
```
8
Lattice="-1.581 -1.096 2.344 -6.414 1.159 -3.783 3.616 -6.581 -0.640" Properties=species:S:1:pos:R:3 pbc="T T T"
Hg -4.779 0.172 -1.180
Hg -1.848 -2.599 -0.500
Hg 1.458 -4.641 0.774
Li -2.120 -4.109 -3.351
Li -1.554 0.281 -0.916
Li -3.071 -1.421 -2.735
Li 0.273 -4.001 -1.688
Li 0.876 -1.594 -0.155
```

Ce3Pr2PuN6: optimized geometry, PBE.

## Properties
uncorrected energy	-0.663	Ry per atom
ΔE_f (raw)	-1.39	eV/atom

Cell and atoms, written as extended XYZ:
```
12
Lattice="-2.131 4.891 -3.212 -4.001 -3.900 2.750 2.207 2.935 5.020" Properties=species:S:1:pos:R:3 pbc="T T T"
N -0.633 2.395 0.244
N 0.218 2.400 3.607
N -3.292 1.530 4.313
N -4.143 1.525 0.950
N -2.700 4.314 2.425
N -1.225 -0.389 2.132
Pu 0.000 0.000 0.000
Ce -1.963 1.963 2.279
Ce -2.587 -0.974 4.270
Ce -1.338 4.899 0.287
Pr -2.754 1.960 -1.225
Pr -3.378 -0.970 0.762
```

Ta2VRhC: optimized geometry, PBE.

## Properties
uncorrected energy	-0.751	Ry per atom
calculated formation energy	-1.7	eV per formula unit

Cell and atoms, written as extended XYZ:
```
5
Lattice="4.295 0.000 0.000 0.000 4.295 0.000 0.000 0.000 3.896" Properties=species:S:1:pos:R:3 pbc="T T T"
Rh 2.147 2.147 1.948
Ta 2.147 0.000 0.000
Ta 0.000 2.147 0.000
C 0.000 0.000 0.000
V 0.000 0.000 1.948
```

Nd6Ir2CCl3: optimized geometry, PBE.

## Properties
uncorrected energy	-0.453	Ry per atom
ΔE_f (raw)	-1.07	eV/atom

Cell and atoms, written as extended XYZ:
```
12
Lattice="7.043 -0.007 0.022 -3.526 6.097 0.022 -1.150 -1.991 7.377" Properties=species:S:1:pos:R:3 pbc="T T T"
Cl -2.465 4.156 3.711
Cl 1.184 2.049 3.711
Cl 4.832 -0.058 3.711
Ir 3.533 2.020 0.022
Ir -0.016 4.069 0.022
Nd 2.181 -0.016 1.455
Nd -0.034 -0.059 5.937
Nd -1.103 1.881 1.455
Nd 2.401 4.158 1.484
Nd 3.471 2.218 5.966
Nd 0.186 4.114 5.966
C 0.000 0.000 0.000
```

PuPaGeP: optimized geometry, PBE.

## Properties
uncorrected energy	-0.680	Ry per atom
calculated formation energy	-3.2	eV per formula unit

Cell and atoms, written as extended XYZ:
```
4
Lattice="-3.705 -0.083 -1.739 -3.287 -0.987 2.231 -3.193 5.982 1.699" Properties=species:S:1:pos:R:3 pbc="T T T"
Pu -2.680 2.212 0.786
P -7.133 -0.033 0.744
Pa -7.792 4.818 1.918
Ge -5.241 3.552 1.361
```

VCuPd3: optimized geometry, PBE.

## Properties
uncorrected energy	-0.363	Ry per atom
calculated formation energy	4.1	eV per formula unit
energy relative to the lowest polymorph listed for this composition	752	meV/atom

Cell and atoms, written as extended XYZ:
```
5
Lattice="-3.417 -1.531 -2.586 1.459 -4.269 0.599 -2.627 -0.379 3.696" Properties=species:S:1:pos:R:3 pbc="T T T"
Pd -1.709 -0.766 -1.293
Pd -1.314 -0.190 1.848
Pd 0.730 -2.134 0.300
Cu 0.000 0.000 0.000
V -2.293 -3.090 0.855
```

CuSb2Te: optimized geometry, PBE.

## Properties
uncorrected energy	-0.274	Ry per atom
ΔE_f (raw)	0.14	eV/atom

Cell and atoms, written as extended XYZ:
```
4
Lattice="-3.020 2.110 -1.566 -1.442 -3.326 -1.699 -3.785 -1.237 5.633" Properties=species:S:1:pos:R:3 pbc="T T T"
Te -2.454 -0.802 3.653
Sb -0.238 -0.078 0.354
Sb -3.010 -0.862 -0.473
Cu -4.437 -1.329 1.650
```

SrBeSb3: optimized geometry, PBE.

## Properties
uncorrected energy	-0.265	Ry per atom
ΔE_f (raw)	-0.05	eV/atom
energy relative to the lowest polymorph listed for this composition	0	meV/atom

Cell and atoms, written as extended XYZ:
```
5
Lattice="-3.021 -3.894 -1.449 1.239 -2.554 4.282 -3.966 2.168 2.441" Properties=species:S:1:pos:R:3 pbc="T T T"
Sr -2.874 -2.140 2.637
Sb -1.510 -1.947 -0.725
Sb 0.619 -1.277 2.141
Sb -1.983 1.084 1.220
Be 0.000 0.000 0.000
```

RbGeP2Cl: optimized geometry, PBE.

## Properties
uncorrected energy	-0.269	Ry per atom
ΔE_f (raw)	-0.01	eV/atom
energy relative to the lowest polymorph listed for this composition	0	meV/atom

Cell and atoms, written as extended XYZ:
```
5
Lattice="4.670 0.000 0.000 0.000 4.670 0.000 0.000 0.000 6.540" Properties=species:S:1:pos:R:3 pbc="T T T"
P 2.335 0.000 0.000
P 0.000 2.335 0.000
Ge 0.000 0.000 0.000
Rb 2.335 2.335 3.270
Cl 0.000 0.000 3.270
```

K6SnHg23: optimized geometry, PBE.

## Properties
uncorrected energy	-0.056	Ry per atom
calculated formation energy	-5.4	eV per formula unit

Cell and atoms, written as extended XYZ:
```
30
Lattice="-2.155 -7.381 7.648 8.080 -4.296 5.820 1.097 2.570 10.479" Properties=species:S:1:pos:R:3 pbc="T T T"
Hg 0.396 -3.559 12.055
Hg 5.436 -2.040 11.155
Hg 1.075 -1.394 3.666
Hg 4.588 -0.863 8.150
Hg 3.835 -6.941 9.761
Hg -1.078 -3.691 3.824
Hg 6.625 -5.548 11.891
Hg 0.239 -4.256 6.631
Hg 4.207 -3.060 5.922
Hg 5.521 -8.710 16.219
Hg 0.000 0.000 0.000
Hg 6.782 -4.852 17.316
Hg 2.646 -3.432 9.025
Hg 1.500 -0.398 7.728
Hg 1.585 -7.068 12.791
Hg 2.814 -6.048 18.025
Hg 3.186 -2.167 14.186
Hg 4.375 -5.675 14.922
Hg 4.040 -2.148 2.910
Hg 2.962 -5.839 6.734
Hg 5.946 -7.713 20.281
Hg -0.529 -2.406 9.063
Hg 0.548 1.285 5.239
K 4.811 -8.392 12.779
K 2.210 -0.715 11.168
K 0.457 -6.077 9.642
K 5.973 -4.415 8.658
K 6.564 -3.030 14.304
K 1.048 -4.693 15.289
Sn 3.511 -4.554 11.973
```

RbAlSn: optimized geometry, PBE.

## Properties
uncorrected energy	-0.209	Ry per atom
calculated formation energy	0.2	eV per formula unit

Cell and atoms, written as extended XYZ:
```
6
Lattice="2.642 -6.889 0.000 2.642 6.889 0.000 0.000 0.000 5.494" Properties=species:S:1:pos:R:3 pbc="T T T"
Rb 2.642 3.105 4.120
Rb 2.642 -3.105 1.373
Sn 2.642 -0.766 4.120
Sn 2.642 0.766 1.373
Al 0.000 0.000 0.000
Al 0.000 0.000 2.747
```

Rb3Np3CoS8: optimized geometry, PBE.

## Properties
uncorrected energy	-0.483	Ry per atom
ΔE_f (raw)	-1.11	eV/atom

Cell and atoms, written as extended XYZ:
```
15
Lattice="7.988 -0.137 -0.052 -4.112 6.852 0.025 0.028 -4.463 7.797" Properties=species:S:1:pos:R:3 pbc="T T T"
S 5.817 -1.112 2.319
S -0.055 2.279 2.371
S 1.817 -1.261 2.583
S -1.913 3.364 5.451
S 2.088 3.514 5.187
S 3.959 -0.026 5.399
S 3.947 2.429 2.569
S -0.043 -0.177 5.201
Np 4.008 -2.300 3.873
Np 1.952 1.126 3.885
Np -2.042 1.195 3.911
Rb -2.056 3.426 0.013
Rb 0.000 0.000 0.000
Rb 1.938 3.358 -0.013
Co 0.014 -2.231 3.898
```

Cd3Au: optimized geometry, PBE.

## Properties
uncorrected energy	-0.119	Ry per atom
calculated formation energy	-0.5	eV per formula unit

Cell and atoms, written as extended XYZ:
```
8
Lattice="-1.129 -0.032 3.196 -0.138 -5.275 -1.898 8.764 -1.338 3.082" Properties=species:S:1:pos:R:3 pbc="T T T"
Cd 3.596 -4.509 1.226
Cd 2.148 -0.661 0.752
Cd 5.350 -5.984 3.628
Cd -0.245 -3.923 -0.125
Cd 3.901 -2.135 3.155
Cd 7.742 -2.721 4.506
Au 1.271 -3.030 2.217
Au 6.226 -3.615 2.164
```

Co2MoAu: optimized geometry, PBE.

## Properties
uncorrected energy	-0.503	Ry per atom
calculated formation energy	1.0	eV per formula unit

Cell and atoms, written as extended XYZ:
```
4
Lattice="-2.688 -3.780 -1.122 -1.843 -2.265 3.775 0.166 4.548 -1.437" Properties=species:S:1:pos:R:3 pbc="T T T"
Au -1.972 -0.371 1.832
Mo -2.266 -3.024 1.327
Co -2.393 -1.126 -0.617
Co 0.000 0.000 0.000
```

Nd2BeO5: optimized geometry, PBE.

## Properties
uncorrected energy	-0.522	Ry per atom
ΔE_f (raw)	-2.34	eV/atom

Cell and atoms, written as extended XYZ:
```
8
Lattice="5.403 0.000 0.000 0.000 5.403 0.000 -2.701 -2.701 3.367" Properties=species:S:1:pos:R:3 pbc="T T T"
Nd 2.701 0.000 1.648
Nd 0.000 2.701 1.648
Be 2.701 2.701 3.201
O 1.234 4.169 0.125
O 1.234 1.234 0.125
O 4.169 1.234 0.125
O 4.169 4.169 0.125
O 2.701 2.701 1.601
```

TlSbPb2: optimized geometry, PBE.

## Properties
uncorrected energy	-0.249	Ry per atom
ΔE_f (raw)	0.09	eV/atom
energy relative to the lowest polymorph listed for this composition	73	meV/atom

Cell and atoms, written as extended XYZ:
```
4
Lattice="4.308 0.000 0.000 2.154 3.731 0.000 2.154 1.244 8.407" Properties=species:S:1:pos:R:3 pbc="T T T"
Pb 2.154 1.244 6.513
Pb 2.154 1.244 1.901
Sb 6.462 3.731 8.398
Tl 4.308 2.487 4.206
```

YCd2Se: optimized geometry, PBE.

## Properties
uncorrected energy	-0.244	Ry per atom
ΔE_f (raw)	-0.38	eV/atom

Cell and atoms, written as extended XYZ:
```
4
Lattice="4.156 0.000 0.000 0.000 4.158 0.000 0.000 0.000 5.783" Properties=species:S:1:pos:R:3 pbc="T T T"
Cd 0.000 0.000 2.874
Cd 0.000 0.000 0.018
Se 2.078 2.079 1.446
Y 2.078 2.079 4.337
```

MoP2PtCl: optimized geometry, PBE.

## Properties
uncorrected energy	-0.360	Ry per atom
ΔE_f (raw)	1.02	eV/atom
energy relative to the lowest polymorph listed for this composition	280	meV/atom

Cell and atoms, written as extended XYZ:
```
5
Lattice="4.671 0.000 0.000 0.000 4.671 0.000 0.000 0.000 4.847" Properties=species:S:1:pos:R:3 pbc="T T T"
P 2.336 0.000 0.000
P 0.000 2.336 0.000
Cl 0.000 0.000 2.424
Pt 0.000 0.000 0.000
Mo 2.336 2.336 2.424
```

CrCdPt2: optimized geometry, PBE.

## Properties
uncorrected energy	-0.433	Ry per atom
calculated formation energy	-1.0	eV per formula unit

Cell and atoms, written as extended XYZ:
```
4
Lattice="-1.749 -2.022 -0.840 2.153 -1.784 -0.187 -1.132 -2.159 7.557" Properties=species:S:1:pos:R:3 pbc="T T T"
Cd -0.081 -2.443 1.376
Pt -0.601 -1.146 4.011
Pt -1.097 -2.093 7.325
Cr -0.647 -3.522 5.154
```

Nd5Y2Er2: optimized geometry, PBE.

## Properties
uncorrected energy	-0.373	Ry per atom
calculated formation energy	0.2	eV per formula unit
energy relative to the lowest polymorph listed for this composition	0	meV/atom

Cell and atoms, written as extended XYZ:
```
9
Lattice="5.639 -0.776 -2.634 -3.219 5.158 1.544 -3.922 2.457 13.203" Properties=species:S:1:pos:R:3 pbc="T T T"
Nd 0.000 0.000 0.000
Nd 0.492 3.932 4.855
Nd -0.073 3.366 1.325
Nd -1.429 3.473 10.788
Nd -1.994 2.907 7.257
Y 0.569 0.561 3.516
Y -2.071 6.279 8.596
Er 3.075 1.574 1.117
Er -4.578 5.265 10.995
```

Pr3NdSc: optimized geometry, PBE.

## Properties
uncorrected energy	-0.362	Ry per atom
calculated formation energy	0.8	eV per formula unit
energy relative to the lowest polymorph listed for this composition	109	meV/atom

Cell and atoms, written as extended XYZ:
```
20
Lattice="-1.805 -2.932 9.030 3.394 -7.509 -1.760 7.509 2.933 2.452" Properties=species:S:1:pos:R:3 pbc="T T T"
Sc 3.556 -5.862 6.564
Sc 5.612 -0.643 8.670
Sc 5.542 -1.646 3.159
Sc 3.485 -6.865 1.053
Pr 1.991 -7.726 4.020
Pr 3.023 -9.320 6.962
Pr 3.043 -0.018 2.608
Pr 8.292 -2.635 3.967
Pr 3.482 -3.424 8.960
Pr 7.107 0.219 5.703
Pr 0.805 -4.872 5.756
Pr 6.054 -7.489 7.115
Pr 3.449 -4.329 3.488
Pr 6.074 1.813 2.761
Pr 5.616 -4.084 0.763
Pr 5.648 -3.178 6.235
Nd 2.160 -2.480 0.285
Nd 6.934 -5.858 3.996
Nd 6.937 -5.027 9.438
Nd 2.163 -1.649 5.727
```

no.,Fermi-level density of states (states/eV per atom),total magnetization (μB per cell)
1,1.030,7.3
2,0.420,0.0
3,1.160,5.8
4,0.580,0.0
5,0.868,0.0
6,2.480,5.4
7,1.856,2.7
8,0.388,0.0
9,0.678,0.0
10,0.256,0.0
11,0.353,0.0
12,0.519,0.0
13,1.563,5.2
14,0.392,0.0
15,1.204,0.4
16,0.297,2.0
17,0.562,0.0
18,0.623,0.0
19,0.757,2.8
20,0.675,0.7
21,1.462,0.0
22,1.508,0.0